Below is a relaxed As2RhSBr crystal, with properties calculated at the GGA-PBE level.

a = 4.773 Å, b = 4.773 Å, c = 4.841 Å
α = 90.00°, β = 90.00°, γ = 90.00°
Positions (direct):
As 0.500 0.000 0.000
As 0.000 0.500 0.000
Rh 0.500 0.500 0.500
S 0.000 0.000 0.000
Br 0.000 0.000 0.500

Space group ... P4/mmm, No. 123
D(E_F) ... 4.2 states/eV per cell
Formation energy (no corrections) ... 1.0795 eV/atom
Energy ... -3.411 eV per atom
Size of the total moment ... 0.0 μB/f.u.

***

Below is a relaxed SbAsRhBr2 crystal, with properties calculated at the GGA-PBE level.

a = 5.004 Å, b = 5.004 Å, c = 4.944 Å
α = 90.00°, β = 90.00°, γ = 90.00°
Positions (direct):
Br 0.500 0.000 0.000
As 0.000 0.000 0.500
Rh 0.000 0.000 0.000
Br 0.000 0.500 0.000
Sb 0.500 0.500 0.500

Space group ... P4/mmm, No. 123
D(E_F) ... 3.3 states/eV per cell
Formation energy (no corrections) ... 0.2867 eV/atom
Energy ... -3.607 eV per atom
Size of the total moment ... 0.0 μB/f.u.

***

Below is a relaxed SbAs2RhBr crystal, with properties calculated at the GGA-PBE level.

a = 4.852 Å, b = 4.852 Å, c = 5.056 Å
α = 90.00°, β = 90.00°, γ = 90.00°
Positions (direct):
As 0.500 0.000 0.000
Rh 0.000 0.000 0.000
Br 0.000 0.000 0.500
As 0.000 0.500 0.000
Sb 0.500 0.500 0.500

Space group ... P4/mmm, No. 123
D(E_F) ... 4.9 states/eV per cell
Formation energy (no corrections) ... 0.3713 eV/atom
Energy ... -4.118 eV per atom
Size of the total moment ... 0.0 μB/f.u.

***

Below is a relaxed ScAsRhBr2 crystal, with properties calculated at the GGA-PBE level.

a = 4.967 Å, b = 4.967 Å, c = 4.944 Å
α = 90.00°, β = 90.00°, γ = 90.00°
Positions (direct):
Br 0.000 0.500 0.000
As 0.000 0.000 0.500
Sc 0.500 0.500 0.500
Br 0.500 0.000 0.000
Rh 0.000 0.000 0.000

Space group ... P4/mmm, No. 123
D(E_F) ... 3.2 states/eV per cell
Formation energy (no corrections) ... 0.0013 eV/atom
Energy ... -4.334 eV per atom
Size of the total moment ... 0.0 μB/f.u.

***

Below is a relaxed ScAsRhBr2 crystal, with properties calculated at the GGA-PBE level.

a = 5.090 Å, b = 5.090 Å, c = 5.476 Å
α = 90.00°, β = 90.00°, γ = 90.00°
Each line ends with the local moment (μB).
Positions (direct):
Br 0.000 0.500 0.000  -0.01
Br 0.500 0.000 0.000  -0.01
As 0.000 0.000 0.500  -0.13
Sc 0.000 0.000 0.000  0.01
Rh 0.500 0.500 0.500  1.40

Space group ... P4/mmm, No. 123
D(E_F) ... 8.2 states/eV per cell
Formation energy (no corrections) ... 0.1482 eV/atom
Energy ... -4.187 eV per atom
Size of the total moment ... 1.3 μB/f.u.

***

Below is a relaxed AsRhSeBr2 crystal, with properties calculated at the GGA-PBE level.

a = 5.235 Å, b = 5.235 Å, c = 5.096 Å
α = 90.00°, β = 90.00°, γ = 90.00°
Each line ends with the local moment (μB).
Positions (direct):
Se 0.000 0.000 0.500  0.14
As 0.000 0.000 0.000  -0.01
Rh 0.500 0.500 0.500  1.64
Br 0.000 0.500 0.000  0.04
Br 0.500 0.000 0.000  0.04

Space group ... P4/mmm, No. 123
D(E_F) ... 9.0 states/eV per cell
Formation energy (no corrections) ... 0.7629 eV/atom
Energy ... -3.003 eV per atom
Size of the total moment ... 2.1 μB/f.u.

***

Below is a relaxed AsRhSeBr2 crystal, with properties calculated at the GGA-PBE level.

a = 4.969 Å, b = 4.969 Å, c = 4.922 Å
α = 90.00°, β = 90.00°, γ = 90.00°
Positions (direct):
As 0.500 0.500 0.500
Se 0.000 0.000 0.500
Br 0.500 0.000 0.000
Rh 0.000 0.000 0.000
Br 0.000 0.500 0.000

Space group ... P4/mmm, No. 123
D(E_F) ... 3.7 states/eV per cell
Formation energy (no corrections) ... 0.4256 eV/atom
Energy ... -3.341 eV per atom
Size of the total moment ... 0.0 μB/f.u.

***

Below is a relaxed AsRhSeBr2 crystal, with properties calculated at the GGA-PBE level.

a = 5.005 Å, b = 5.005 Å, c = 4.873 Å
α = 90.00°, β = 90.00°, γ = 90.00°
Each line ends with the local moment (μB).
Positions (direct):
As 0.000 0.000 0.500  -0.04
Br 0.500 0.000 0.000  0.04
Br 0.000 0.500 0.000  0.04
Se 0.500 0.500 0.500  0.26
Rh 0.000 0.000 0.000  -0.01

Space group ... P4/mmm, No. 123
D(E_F) ... 4.3 states/eV per cell
Formation energy (no corrections) ... 0.4153 eV/atom
Energy ... -3.351 eV per atom
Size of the total moment ... 0.4 μB/f.u.

***

Below is a relaxed AsRhSeBr2 crystal, with properties calculated at the GGA-PBE level.

a = 5.096 Å, b = 5.096 Å, c = 5.264 Å
α = 90.00°, β = 90.00°, γ = 90.00°
Positions (direct):
Br 0.000 0.500 0.000
Rh 0.500 0.500 0.500
Se 0.000 0.000 0.000
Br 0.500 0.000 0.000
As 0.000 0.000 0.500

Space group ... P4/mmm, No. 123
D(E_F) ... 12.1 states/eV per cell
Formation energy (no corrections) ... 1.1043 eV/atom
Energy ... -2.662 eV per atom
Size of the total moment ... 0.0 μB/f.u.

***

Below is a relaxed SnAs2RhBr crystal, with properties calculated at the GGA-PBE level.

a = 4.764 Å, b = 4.764 Å, c = 5.483 Å
α = 90.00°, β = 90.00°, γ = 90.00°
Positions (direct):
As 0.000 0.500 0.000
Br 0.000 0.000 0.500
As 0.500 0.000 0.000
Rh 0.000 0.000 0.000
Sn 0.500 0.500 0.500

Space group ... P4/mmm, No. 123
D(E_F) ... 4.2 states/eV per cell
Formation energy (no corrections) ... 0.2490 eV/atom
Energy ... -4.216 eV per atom
Size of the total moment ... 0.0 μB/f.u.

***

Below is a relaxed SnAsRhBr2 crystal, with properties calculated at the GGA-PBE level.

a = 5.142 Å, b = 4.823 Å, c = 5.142 Å
α = 90.00°, β = 90.00°, γ = 90.00°
Positions (direct):
As 0.000 0.500 0.000
Rh 0.000 0.000 0.000
Br 0.500 0.000 0.000
Br 0.000 0.000 0.500
Sn 0.500 0.500 0.500

Space group ... P4/mmm, No. 123
D(E_F) ... 4.2 states/eV per cell
Formation energy (no corrections) ... 0.1095 eV/atom
Energy ... -3.760 eV per atom
Size of the total moment ... 0.0 μB/f.u.

***

Below is a relaxed SrAs2RhBr crystal, with properties calculated at the GGA-PBE level.

a = 4.779 Å, b = 4.779 Å, c = 5.703 Å
α = 90.00°, β = 90.00°, γ = 90.00°
Positions (direct):
Br 0.000 0.000 0.500
Sr 0.500 0.500 0.500
Rh 0.000 0.000 0.000
As 0.000 0.500 0.000
As 0.500 0.000 0.000

Space group ... P4/mmm, No. 123
D(E_F) ... 3.8 states/eV per cell
Formation energy (no corrections) ... -0.4455 eV/atom
Energy ... -4.446 eV per atom
Size of the total moment ... 0.0 μB/f.u.